(1)
Here is a relaxed structure of Pm4YSe4 from Alexandria via LeMat-Bulk. Energies are from GGA-PBE.

Cell lengths 9.198, 9.198, 5.901 Å; angles 90.00, 90.00, 90.00 degrees
Space group I4/m (No. 87)
Unique sites:
Pm 0.100 0.703 0.000 [8 per cell]
Y 0.000 0.000 0.500 [2 per cell]
Se 0.096 0.703 0.500 [8 per cell]

## Properties
Volume ... 499.2 Å³ per cell
Formation energy without anion corrections ... -1.5828 eV/atom

(2)
Here is a relaxed structure of RePbSCl2 from Alexandria via LeMat-Bulk. Energies are from GGA-PBE.

Cell lengths 5.465, 5.465, 5.274 Å; angles 90.00, 90.00, 90.00 degrees
Space group P4/mmm (No. 123)
Unique sites:
Re 0.000 0.000 0.000 [1 per cell]
Pb 0.500 0.500 0.500 [1 per cell]
S 0.500 0.500 0.000 [1 per cell]
Cl 0.000 0.500 0.500 [2 per cell]

## Properties
Volume ... 157.5 Å³ per cell
Formation energy without anion corrections ... 0.9346 eV/atom

(3)
Here is a relaxed structure of BaLaRh from Alexandria via LeMat-Bulk. Energies are from GGA-PBE.

Cell lengths 3.742, 3.742, 14.481 Å; angles 90.00, 90.00, 90.00 degrees
Space group I4mm (No. 107)
Unique sites:
Ba 0.000 0.000 0.000 [2 per cell]
La 0.000 0.000 0.756 [2 per cell]
Rh 0.000 0.000 0.345 [2 per cell]

## Properties
Volume ... 202.8 Å³ per cell
Calculated formation energy ... -0.329 eV/atom

(4)
Here is a relaxed structure of LaNi2 from Alexandria via LeMat-Bulk. Energies are from GGA-PBE.

Cell lengths 10.072, 3.952, 6.925 Å; angles 90.00, 125.84, 90.00 degrees
Space group C2/m (No. 12)
Unique sites:
La 0.062 0.000 0.289 [4 per cell]
Ni 0.141 0.500 0.676 [4 per cell]
Ni 0.221 0.500 0.085 [4 per cell]

## Properties
Volume ... 223.4 Å³ per cell
Calculated formation energy ... -0.281 eV/atom

(5)
Here is a relaxed structure of HoSnHg from Alexandria via LeMat-Bulk. Energies are from GGA-PBE.

Cell lengths 11.590, 4.829, 6.500 Å; angles 90.00, 122.48, 90.00 degrees
Space group C2/m (No. 12)
Unique sites:
Ho 0.183 0.000 0.239 [4 per cell]
Sn 0.007 0.500 0.771 [4 per cell]
Hg 0.151 0.000 0.719 [4 per cell]

## Properties
Volume ... 306.9 Å³ per cell
Calculated formation energy ... -0.439 eV/atom

(6)
Here is a relaxed structure of RbNa2CdF from Alexandria via LeMat-Bulk. Energies are from GGA-PBE.

Cell lengths 5.089, 5.089, 5.552 Å; angles 90.00, 90.00, 90.00 degrees
Space group P4/mmm (No. 123)
Unique sites:
Rb 0.000 0.000 0.000 [1 per cell]
Na 0.000 0.500 0.500 [2 per cell]
Cd 0.500 0.500 0.000 [1 per cell]
F 0.000 0.000 0.500 [1 per cell]

## Properties
Volume ... 143.8 Å³ per cell
Formation energy without anion corrections ... -0.9531 eV/atom

(7)
Here is a relaxed structure of Be2CdB from Alexandria via LeMat-Bulk. Energies are from GGA-PBE.

Cell lengths 5.656, 5.656, 5.656 Å; angles 90.00, 90.00, 90.00 degrees
Space group Fm-3m (No. 225)
Unique sites:
Be 0.250 0.250 0.250 [8 per cell]
Cd 0.000 0.000 0.000 [4 per cell]
B 0.000 0.000 0.500 [4 per cell]

## Properties
Volume ... 180.9 Å³ per cell
Calculated formation energy ... 1.032 eV/atom

(8)
Here is a relaxed structure of CrGeBiRu2 from Alexandria via LeMat-Bulk. Energies are from GGA-PBE.

Cell lengths 4.945, 4.945, 5.228 Å; angles 90.00, 90.00, 90.00 degrees
Space group P4/mmm (No. 123)
Unique sites:
Cr 0.000 0.000 0.000 [1 per cell]
Ge 0.500 0.500 0.000 [1 per cell]
Bi 0.500 0.500 0.500 [1 per cell]
Ru 0.000 0.500 0.500 [2 per cell]

## Properties
Volume ... 127.8 Å³ per cell
Calculated formation energy ... 2.395 eV/atom